Version P
The following is a PBE calculation of crystalline La2Pr2Ho5 at its relaxed geometry, from Alexandria. Values from VASP.

Quantum ESPRESSO input file:
```
&SYSTEM
  ibrav = 0, nat = 9, ntyp = 3
/
ATOMIC_SPECIES
La 138.91 La.upf
Pr 140.91 Pr.upf
Ho 164.93 Ho.upf
CELL_PARAMETERS angstrom
8.904 -1.753 0.000
8.904 1.753 0.000
-1.502 0.000 9.793
ATOMIC_POSITIONS crystal
La 0.165 0.165 0.220
La 0.835 0.835 0.780
Pr 0.495 0.495 0.312
Pr 0.505 0.505 0.688
Ho 0.000 0.000 0.000
Ho 0.173 0.173 0.865
Ho 0.329 0.329 0.459
Ho 0.671 0.671 0.541
Ho 0.827 0.827 0.135
```

Fermi-level density of states   15.43 states/eV/f.u.
SG   No. 12
Total magnetic moment   0.00 Bohr magnetons per cell



Version Q
The following is a PBE calculation of crystalline La2Pr2Ho5 at its relaxed geometry, from Alexandria. Values from VASP.

Quantum ESPRESSO input file:
```
&SYSTEM
  ibrav = 0, nat = 18, ntyp = 3
/
ATOMIC_SPECIES
La 138.91 La.upf
Pr 140.91 Pr.upf
Ho 164.93 Ho.upf
CELL_PARAMETERS angstrom
-7.547 6.024 3.385
7.547 -6.024 3.385
7.547 6.024 -3.385
ATOMIC_POSITIONS crystal
La 0.002 0.127 0.128
La 0.002 0.373 0.375
La 0.998 0.627 0.625
La 0.998 0.873 0.872
Pr 0.459 0.459 0.000
Pr 0.459 0.959 0.500
Pr 0.535 0.291 0.744
Pr 0.548 0.791 0.256
Ho 0.091 0.602 0.989
Ho 0.099 0.188 0.626
Ho 0.099 0.973 0.411
Ho 0.397 0.088 0.202
Ho 0.397 0.695 0.808
Ho 0.562 0.473 0.374
Ho 0.562 0.688 0.589
Ho 0.613 0.102 0.011
Ho 0.886 0.195 0.798
Ho 0.886 0.588 0.192
```

Fermi-level density of states   14.97 states/eV/f.u.
SG   No. 46
Total magnetic moment   0.00 Bohr magnetons per cell



Verdict on stability: version Q comes out at the bottom.



Version P
The following is a PBE calculation of crystalline La4PrHo3 at its relaxed geometry, from Alexandria. Values from VASP.

Quantum ESPRESSO input file:
```
&SYSTEM
  ibrav = 0, nat = 8, ntyp = 3
/
ATOMIC_SPECIES
La 138.91 La.upf
Pr 140.91 Pr.upf
Ho 164.93 Ho.upf
CELL_PARAMETERS angstrom
-1.764 5.918 6.617
1.764 -5.918 6.617
1.764 5.918 -6.617
ATOMIC_POSITIONS crystal
La 0.116 0.867 0.249
La 0.383 0.133 0.249
La 0.617 0.867 0.751
La 0.884 0.133 0.751
Pr 0.500 0.000 0.500
Ho 0.000 0.500 0.500
Ho 0.262 0.262 0.000
Ho 0.738 0.738 0.000
```

Fermi-level density of states   14.56 states/eV/f.u.
SG   No. 71
Total magnetic moment   0.00 Bohr magnetons per cell



Version Q
The following is a PBE calculation of crystalline La4PrHo3 at its relaxed geometry, from Alexandria. Values from VASP.

Quantum ESPRESSO input file:
```
&SYSTEM
  ibrav = 0, nat = 16, ntyp = 3
/
ATOMIC_SPECIES
La 138.91 La.upf
Pr 140.91 Pr.upf
Ho 164.93 Ho.upf
CELL_PARAMETERS angstrom
11.774 0.000 0.000
0.000 7.381 0.000
0.000 0.000 6.412
ATOMIC_POSITIONS crystal
La 0.000 0.129 0.000
La 0.000 0.869 0.521
La 0.242 0.124 0.338
La 0.258 0.876 0.838
La 0.500 0.131 0.021
La 0.500 0.871 0.500
La 0.742 0.876 0.838
La 0.758 0.124 0.338
Pr 0.000 0.627 0.009
Pr 0.500 0.373 0.509
Ho 0.000 0.381 0.507
Ho 0.250 0.380 0.839
Ho 0.250 0.620 0.339
Ho 0.500 0.619 0.007
Ho 0.750 0.380 0.839
Ho 0.750 0.620 0.339
```

Fermi-level density of states   13.59 states/eV/f.u.
SG   No. 31
Total magnetic moment   0.00 Bohr magnetons per cell



Verdict on stability: version P comes out at the bottom.



Version P
The following is a PBE calculation of crystalline La5Pr2Ho2 at its relaxed geometry, from Alexandria. Values from VASP.

Quantum ESPRESSO input file:
```
&SYSTEM
  ibrav = 0, nat = 9, ntyp = 3
/
ATOMIC_SPECIES
La 138.91 La.upf
Pr 140.91 Pr.upf
Ho 164.93 Ho.upf
CELL_PARAMETERS angstrom
6.190 0.000 0.000
2.800 6.201 0.000
2.923 0.356 8.401
ATOMIC_POSITIONS crystal
La 0.000 0.000 0.000
La 0.269 0.674 0.652
La 0.377 0.866 0.244
La 0.623 0.134 0.756
La 0.731 0.326 0.348
Pr 0.263 0.418 0.121
Pr 0.737 0.582 0.879
Ho 0.179 0.234 0.554
Ho 0.821 0.766 0.446
```

Fermi-level density of states   13.16 states/eV/f.u.
SG   No. 2
Total magnetic moment   0.00 Bohr magnetons per cell



Version Q
The following is a PBE calculation of crystalline La5Pr2Ho2 at its relaxed geometry, from Alexandria. Values from VASP.

Quantum ESPRESSO input file:
```
&SYSTEM
  ibrav = 0, nat = 18, ntyp = 3
/
ATOMIC_SPECIES
La 138.91 La.upf
Pr 140.91 Pr.upf
Ho 164.93 Ho.upf
CELL_PARAMETERS angstrom
-7.676 6.583 3.163
7.676 -6.583 3.163
7.676 6.583 -3.163
ATOMIC_POSITIONS crystal
La 0.166 0.496 0.959
La 0.166 0.707 0.170
La 0.198 0.049 0.246
La 0.198 0.451 0.649
La 0.537 0.207 0.041
La 0.537 0.996 0.830
La 0.595 0.514 0.581
La 0.802 0.549 0.351
La 0.802 0.951 0.754
La 0.933 0.014 0.419
Pr 0.231 0.041 0.690
Pr 0.352 0.541 0.310
Pr 0.428 0.428 0.000
Pr 0.428 0.928 0.500
Ho 0.805 0.221 0.312
Ho 0.805 0.994 0.085
Ho 0.909 0.494 0.688
Ho 0.909 0.721 0.915
```

Fermi-level density of states   13.52 states/eV/f.u.
SG   No. 46
Total magnetic moment   0.00 Bohr magnetons per cell



Verdict on stability: version Q comes out at the bottom.



Version P
The following is a PBE calculation of crystalline LaPr7Ho3 at its relaxed geometry, from Alexandria. Values from VASP.

Quantum ESPRESSO input file:
```
&SYSTEM
  ibrav = 0, nat = 11, ntyp = 3
/
ATOMIC_SPECIES
La 138.91 La.upf
Pr 140.91 Pr.upf
Ho 164.93 Ho.upf
CELL_PARAMETERS angstrom
7.300 0.000 0.000
-3.650 6.322 0.000
0.000 0.000 8.727
ATOMIC_POSITIONS crystal
La 0.000 0.000 0.000
Pr 0.001 0.500 0.021
Pr 0.167 0.334 0.665
Pr 0.167 0.833 0.665
Pr 0.500 0.500 0.021
Pr 0.500 0.999 0.021
Pr 0.666 0.833 0.665
Pr 0.667 0.333 0.684
Ho 0.334 0.167 0.343
Ho 0.833 0.167 0.343
Ho 0.833 0.666 0.343
```

Fermi-level density of states   17.06 states/eV/f.u.
SG   No. 156
Total magnetic moment   0.00 Bohr magnetons per cell



Version Q
The following is a PBE calculation of crystalline LaPr7Ho3 at its relaxed geometry, from Alexandria. Values from VASP.

Quantum ESPRESSO input file:
```
&SYSTEM
  ibrav = 0, nat = 11, ntyp = 3
/
ATOMIC_SPECIES
La 138.91 La.upf
Pr 140.91 Pr.upf
Ho 164.93 Ho.upf
CELL_PARAMETERS angstrom
5.959 -5.154 0.000
5.959 5.154 0.000
-0.684 0.000 6.476
ATOMIC_POSITIONS crystal
La 0.000 0.000 0.000
Pr 0.000 0.000 0.500
Pr 0.077 0.429 0.759
Pr 0.266 0.266 0.287
Pr 0.429 0.077 0.759
Pr 0.571 0.923 0.241
Pr 0.734 0.734 0.713
Pr 0.923 0.571 0.241
Ho 0.332 0.668 0.500
Ho 0.500 0.500 0.000
Ho 0.668 0.332 0.500
```

Fermi-level density of states   15.29 states/eV/f.u.
SG   No. 12
Total magnetic moment   0.00 Bohr magnetons per cell



Verdict on stability: version Q comes out at the bottom.



Version P
The following is a PBE calculation of crystalline La2PrHo6 at its relaxed geometry, from Alexandria. Values from VASP.

Quantum ESPRESSO input file:
```
&SYSTEM
  ibrav = 0, nat = 9, ntyp = 3
/
ATOMIC_SPECIES
La 138.91 La.upf
Pr 140.91 Pr.upf
Ho 164.93 Ho.upf
CELL_PARAMETERS angstrom
7.614 0.000 0.000
-3.807 6.594 0.000
0.000 0.000 6.033
ATOMIC_POSITIONS crystal
La 0.333 0.667 0.284
La 0.667 0.333 0.716
Pr 0.000 0.000 0.500
Ho 0.188 0.376 0.795
Ho 0.188 0.812 0.795
Ho 0.376 0.188 0.205
Ho 0.624 0.812 0.795
Ho 0.812 0.188 0.205
Ho 0.812 0.624 0.205
```

Fermi-level density of states   11.66 states/eV/f.u.
SG   No. 164
Total magnetic moment   0.00 Bohr magnetons per cell



Version Q
The following is a PBE calculation of crystalline La2PrHo6 at its relaxed geometry, from Alexandria. Values from VASP.

Quantum ESPRESSO input file:
```
&SYSTEM
  ibrav = 0, nat = 9, ntyp = 3
/
ATOMIC_SPECIES
La 138.91 La.upf
Pr 140.91 Pr.upf
Ho 164.93 Ho.upf
CELL_PARAMETERS angstrom
8.394 -5.188 0.000
8.394 5.188 0.000
-0.732 0.000 3.435
ATOMIC_POSITIONS crystal
La 0.157 0.157 0.155
La 0.843 0.843 0.845
Pr 0.500 0.500 0.000
Ho 0.156 0.489 0.821
Ho 0.188 0.812 0.500
Ho 0.489 0.156 0.821
Ho 0.511 0.844 0.179
Ho 0.812 0.188 0.500
Ho 0.844 0.511 0.179
```

Fermi-level density of states   15.26 states/eV/f.u.
SG   No. 12
Total magnetic moment   0.00 Bohr magnetons per cell



Verdict on stability: version P comes out at the bottom.



Version P
The following is a PBE calculation of crystalline La12Pr5Ho2 at its relaxed geometry, from Alexandria. Values from VASP.

Quantum ESPRESSO input file:
```
&SYSTEM
  ibrav = 0, nat = 19, ntyp = 3
/
ATOMIC_SPECIES
La 138.91 La.upf
Pr 140.91 Pr.upf
Ho 164.93 Ho.upf
CELL_PARAMETERS angstrom
6.458 0.000 0.000
0.822 9.655 0.000
1.443 4.251 11.031
ATOMIC_POSITIONS crystal
La 0.028 0.448 0.363
La 0.236 0.907 0.469
La 0.242 0.163 0.613
La 0.242 0.561 0.047
La 0.292 0.330 0.867
La 0.356 0.951 0.907
La 0.644 0.049 0.093
La 0.708 0.670 0.133
La 0.758 0.439 0.953
La 0.758 0.837 0.387
La 0.764 0.093 0.531
La 0.972 0.552 0.637
Pr 0.061 0.188 0.191
Pr 0.479 0.716 0.723
Pr 0.500 0.500 0.500
Pr 0.521 0.284 0.277
Pr 0.939 0.812 0.809
Ho 0.211 0.807 0.216
Ho 0.789 0.193 0.784
```

Fermi-level density of states   29.46 states/eV/f.u.
SG   No. 2
Total magnetic moment   0.00 Bohr magnetons per cell



Version Q
The following is a PBE calculation of crystalline La12Pr5Ho2 at its relaxed geometry, from Alexandria. Values from VASP.

Quantum ESPRESSO input file:
```
&SYSTEM
  ibrav = 0, nat = 19, ntyp = 3
/
ATOMIC_SPECIES
La 138.91 La.upf
Pr 140.91 Pr.upf
Ho 164.93 Ho.upf
CELL_PARAMETERS angstrom
9.773 -3.801 0.000
9.773 3.801 0.000
-4.382 0.000 9.342
ATOMIC_POSITIONS crystal
La 0.008 0.008 0.218
La 0.068 0.595 0.498
La 0.091 0.591 0.150
La 0.405 0.932 0.502
La 0.409 0.909 0.850
La 0.491 0.491 0.670
La 0.509 0.509 0.330
La 0.591 0.091 0.150
La 0.595 0.068 0.498
La 0.909 0.409 0.850
La 0.932 0.405 0.502
La 0.992 0.992 0.782
Pr 0.000 0.000 0.500
Pr 0.174 0.174 0.165
Pr 0.325 0.325 0.803
Pr 0.675 0.675 0.197
Pr 0.826 0.826 0.835
Ho 0.298 0.702 0.000
Ho 0.702 0.298 0.000
```

Fermi-level density of states   32.43 states/eV/f.u.
SG   No. 12
Total magnetic moment   0.00 Bohr magnetons per cell



Verdict on stability: version Q comes out at the bottom.